# 1
A plane-wave DFT calculation with PBE-GGA was carried out for a relaxed structure of Ag2Pd12Pt5.

final energy	-5.07	eV per atom
E_form	2.2	kcal/mol of atoms

Cell lengths 4.6902, 8.7546, 8.7546 Å; angles 63.98, 76.10, 76.10 degrees
Closest atoms and distances in Å follow each position.
Positions (direct):
Ag  0.0000  0.2515  0.7485  10 Pd 2.70-2.88
Ag  0.0000  0.7485  0.2515  10 Pd 2.70-2.88
Pd  0.0787  0.8980  0.8980  5 Pt 2.68-2.82, 3 Pd 2.74-2.91, 2 Ag 2.75
Pd  0.2014  0.5462  0.0497  7 Pd 2.67-2.84, 2 Pt 2.72-2.73, 1 Ag 2.88
Pd  0.2014  0.0497  0.5462  7 Pd 2.67-2.84, 2 Pt 2.72-2.73, 1 Ag 2.88
Pd  0.5977  0.6420  0.1601  3 Pt 2.68-2.79, 2 Ag 2.70-2.77, 4 Pd 2.72-2.84
Pd  0.5977  0.1601  0.6420  3 Pt 2.68-2.79, 2 Ag 2.70-2.77, 4 Pd 2.72-2.84
Pd  0.1686  0.4001  0.4001  2 Ag 2.73, 5 Pd 2.74-3.01, 3 Pt 2.74-2.88
Pd  0.8314  0.5999  0.5999  2 Ag 2.73, 5 Pd 2.74-3.01, 3 Pt 2.74-2.88
Pd  0.4023  0.3580  0.8399  3 Pt 2.68-2.79, 2 Ag 2.70-2.77, 4 Pd 2.72-2.84
Pd  0.4023  0.8399  0.3580  3 Pt 2.68-2.79, 2 Ag 2.70-2.77, 4 Pd 2.72-2.84
Pd  0.7986  0.4538  0.9503  7 Pd 2.67-2.84, 2 Pt 2.72-2.73, 1 Ag 2.88
Pd  0.7986  0.9503  0.4538  7 Pd 2.67-2.84, 2 Pt 2.72-2.73, 1 Ag 2.88
Pd  0.9213  0.1020  0.1020  5 Pt 2.68-2.82, 3 Pd 2.74-2.91, 2 Ag 2.75
Pt  0.3427  0.1976  0.1976  7 Pd 2.68-2.88, 3 Pt 2.74-2.82
Pt  0.7570  0.2998  0.2998  7 Pd 2.68-2.82, 2 Pt 2.74-2.78
Pt  0.5000  0.0000  0.0000  8 Pd 2.71-2.81, 2 Pt 2.82
Pt  0.2430  0.7002  0.7002  7 Pd 2.68-2.82, 2 Pt 2.74-2.78
Pt  0.6573  0.8024  0.8024  7 Pd 2.68-2.88, 3 Pt 2.74-2.82



# 2
A plane-wave DFT calculation with PBE-GGA was carried out for a relaxed structure of Ag2Pd4Pt.

final energy	-4.40	eV per atom
E_form	5.7	kcal/mol of atoms
ΔE to the lowest computed polymorph	0.0	meV/atom

Cell lengths 6.8155, 6.8155, 6.8155 Å; angles 109.17, 110.08, 109.17 degrees
Closest atoms and distances in Å follow each position.
Positions (direct):
Ag  0.3750  0.8670  0.7420  8 Pd 2.73-2.77
Ag  0.4920  0.3670  0.6250  8 Pd 2.73-2.77
Ag  0.8750  0.1330  0.5080  8 Pd 2.73-2.77
Ag  0.2580  0.6330  0.1250  8 Pd 2.73-2.77
Pd  0.7950  0.2513  0.8870  2 Pt 2.68, 4 Ag 2.73-2.77, 2 Pd 2.78-2.99
Pd  0.9550  0.5920  0.7063  2 Pt 2.68, 4 Ag 2.73-2.77, 2 Pd 2.78-2.99
Pd  0.6357  0.7487  0.5437  2 Pt 2.68, 4 Ag 2.73-2.77, 2 Pd 2.78-2.99
Pd  0.1143  0.4080  0.3630  2 Pt 2.68, 4 Ag 2.73-2.77, 2 Pd 2.78-2.99
Pd  0.4563  0.0920  0.2050  2 Pt 2.68, 4 Ag 2.73-2.77, 2 Pd 2.78-2.99
Pd  0.6370  0.7513  0.0450  2 Pt 2.68, 4 Ag 2.73-2.77, 2 Pd 2.78-2.99
Pd  0.2937  0.2487  0.8857  2 Pt 2.68, 4 Ag 2.73-2.77, 2 Pd 2.78-2.99
Pd  0.1130  0.9080  0.3643  2 Pt 2.68, 4 Ag 2.73-2.77, 2 Pd 2.78-2.99
Pt  0.7500  0.5000  0.2500  8 Pd 2.68
Pt  0.0000  0.0000  0.0000  8 Pd 2.68



# 3
A plane-wave DFT calculation with PBE-GGA was carried out for a relaxed structure of Ag8Pd2Pt.

final energy	-3.40	eV per atom
E_form	3.9	kcal/mol of atoms
ΔE to the lowest computed polymorph	105.6	meV/atom

Cell lengths 4.8223, 7.1535, 7.1535 Å; angles 62.78, 79.60, 79.60 degrees
Closest atoms and distances in Å follow each position.
Positions (direct):
Ag  0.2134  0.3811  0.7556  1 Pd 2.73, 1 Pt 2.75, 7 Ag 2.79-2.96
Ag  0.7866  0.2444  0.6189  1 Pd 2.73, 1 Pt 2.75, 7 Ag 2.79-2.96
Ag  0.1008  0.7729  0.7729  1 Pt 2.71, 2 Pd 2.76-2.77, 4 Ag 2.81-2.83
Ag  0.8992  0.2271  0.2271  1 Pt 2.71, 2 Pd 2.76-2.77, 4 Ag 2.81-2.83
Ag  0.2134  0.7556  0.3811  1 Pd 2.73, 1 Pt 2.75, 7 Ag 2.79-2.96
Ag  0.7866  0.6189  0.2444  1 Pd 2.73, 1 Pt 2.75, 7 Ag 2.79-2.96
Ag  0.6674  0.6488  0.6488  8 Ag 2.83-2.96, 1 Pd 2.84
Ag  0.3326  0.3512  0.3512  8 Ag 2.83-2.96, 1 Pd 2.84
Pd  0.5388  0.8866  0.8866  2 Pt 2.67-2.86, 1 Pd 2.72, 5 Ag 2.73-2.84
Pd  0.4612  0.1134  0.1134  2 Pt 2.67-2.86, 1 Pd 2.72, 5 Ag 2.73-2.84
Pt  0.0000  0.0000  0.0000  4 Pd 2.67-2.86, 6 Ag 2.71-2.75



# 4
A plane-wave DFT calculation with PBE-GGA was carried out for a relaxed structure of Ag12Pd6Pt.

final energy	-3.75	eV per atom
E_form	0.2	kcal/mol of atoms

Cell lengths 6.9350, 6.9350, 6.9350 Å; angles 89.91, 89.91, 89.91 degrees
Closest atoms and distances in Å follow each position.
Positions (direct):
Ag  0.8051  0.5220  0.4320  4 Pd 2.81-2.89, 5 Ag 2.82-3.03
Ag  0.4320  0.8051  0.5220  4 Pd 2.81-2.89, 5 Ag 2.82-3.03
Ag  0.5220  0.4320  0.8051  4 Pd 2.81-2.89, 5 Ag 2.82-3.03
Ag  0.1949  0.4780  0.5680  4 Pd 2.81-2.89, 5 Ag 2.82-3.03
Ag  0.5680  0.1949  0.4780  4 Pd 2.81-2.89, 5 Ag 2.82-3.03
Ag  0.4780  0.5680  0.1949  4 Pd 2.81-2.89, 5 Ag 2.82-3.03
Ag  0.0370  0.1550  0.3753  5 Ag 2.81-3.03, 5 Pd 2.82-3.07, 1 Pt 2.83
Ag  0.8450  0.6247  0.9630  5 Ag 2.81-3.03, 5 Pd 2.82-3.07, 1 Pt 2.83
Ag  0.6247  0.9630  0.8450  5 Ag 2.81-3.03, 5 Pd 2.82-3.07, 1 Pt 2.83
Ag  0.9630  0.8450  0.6247  5 Ag 2.81-3.03, 5 Pd 2.82-3.07, 1 Pt 2.83
Ag  0.1550  0.3753  0.0370  5 Ag 2.81-3.03, 5 Pd 2.82-3.07, 1 Pt 2.83
Ag  0.3753  0.0370  0.1550  5 Ag 2.81-3.03, 5 Pd 2.82-3.07, 1 Pt 2.83
Pd  0.7358  0.8869  0.2664  1 Pt 2.72, 8 Ag 2.81-2.96, 2 Pd 2.82
Pd  0.7336  0.2642  0.1131  1 Pt 2.72, 8 Ag 2.81-2.96, 2 Pd 2.82
Pd  0.1131  0.7336  0.2642  1 Pt 2.72, 8 Ag 2.81-2.96, 2 Pd 2.82
Pd  0.2642  0.1131  0.7336  1 Pt 2.72, 8 Ag 2.81-2.96, 2 Pd 2.82
Pd  0.2664  0.7358  0.8869  1 Pt 2.72, 8 Ag 2.81-2.96, 2 Pd 2.82
Pd  0.8869  0.2664  0.7358  1 Pt 2.72, 8 Ag 2.81-2.96, 2 Pd 2.82
Pt  0.0000  0.0000  0.0000  6 Pd 2.72, 6 Ag 2.83



# 5
A plane-wave DFT calculation with PBE-GGA was carried out for a relaxed structure of Ag3PdPt.

final energy	-2.97	eV per atom
E_form	22.9	kcal/mol of atoms
ΔE to the lowest computed polymorph	959.9	meV/atom

Cell lengths 5.0496, 5.0496, 5.0496 Å; angles 90.00, 90.00, 90.00 degrees
Closest atoms and distances in Å follow each position.
Positions (direct):
Pd  0.5000  0.5000  0.5000  12 Ag 3.57
Ag  0.0000  0.5000  0.0000  2 Pt 2.52
Ag  0.0000  0.0000  0.5000  2 Pt 2.52
Ag  0.5000  0.0000  0.0000  2 Pt 2.52
Pt  0.0000  0.0000  0.0000  6 Ag 2.52



# 6
A plane-wave DFT calculation with PBE-GGA was carried out for a relaxed structure of Ag4Pd3Pt.

final energy	-4.13	eV per atom
E_form	0.1	kcal/mol of atoms

Cell lengths 4.7964, 2.8815, 10.0380 Å; angles 81.75, 103.82, 90.00 degrees
Closest atoms and distances in Å follow each position.
Positions (direct):
Ag  0.6255  0.3745  0.2510  2 Pd 2.80, 6 Ag 2.80-2.88, 2 Pt 2.82
Ag  0.3745  0.6255  0.7490  2 Pd 2.80, 6 Ag 2.80-2.88, 2 Pt 2.82
Ag  0.8743  0.1257  0.7486  6 Ag 2.80-2.88, 4 Pd 2.80-2.82
Ag  0.1257  0.8743  0.2514  6 Ag 2.80-2.88, 4 Pd 2.80-2.82
Pd  0.0000  0.5000  0.0000  4 Pt 2.80, 4 Ag 2.82, 2 Pd 2.88
Pd  0.2502  0.2498  0.5003  4 Ag 2.80, 6 Pd 2.80-2.88
Pd  0.7498  0.7502  0.4997  4 Ag 2.80, 6 Pd 2.80-2.88
Pt  0.5000  0.0000  0.0000  4 Pd 2.80, 4 Ag 2.82, 2 Pt 2.88



Question: Which value of final energy does entry 4 give?
Answer: -3.75 eV per atom



Question: Which formula does entry 3 have?
Answer: Ag8Pd2Pt



Question: Which of these has the highest E_form?
Answer: Ag3PdPt



Question: Which of these has the highest final energy?
Answer: Ag3PdPt